# 1
Computed, not measured: crystalline NaLuMgHg at its relaxed geometry at the PBE level of DFT.

```
NaLuMgHg
1.0
5.063 0.000 0.000
2.532 4.385 0.000
2.532 1.462 4.134
Mg Hg Lu Na
1 1 1 1
Direct
0.250 0.250 0.250
0.500 0.500 0.500
0.750 0.750 0.750
0.000 0.000 0.000
```

Values from the calculation:
Electronic total energy, eV per cell: -8.14
SG: F-43m (216)
Total moment, μB/cell: 0.00
Energy of formation, eV per formula unit: -0.40
Crystal system: cubic



# 2
Computed, not measured: crystalline CuBi2Cl at its relaxed geometry at the PBE level of DFT.

```
CuBi2Cl
1.0
0.000 3.599 3.599
3.599 0.000 3.599
3.599 3.599 0.000
Cl Bi Cu
1 2 1
Direct
0.000 0.000 0.000
0.250 0.250 0.250
0.750 0.750 0.750
0.500 0.500 0.500
```

Values from the calculation:
Electronic total energy, eV per cell: -13.20
Excess energy over the best structure of this formula in the dataset, eV per atom: 0.000
SG: Fm-3m (225)
Total moment, μB/cell: 0.00
Crystal system: cubic



# 3
Computed, not measured: crystalline Sm3Zn2Cd3 at its relaxed geometry at the PBE level of DFT.

```
Sm3Zn2Cd3
1.0
-2.237 -1.639 2.783
5.810 -4.630 1.942
-0.766 6.837 3.410
Zn Sm Cd
2 3 3
Direct
0.000 0.667 0.333
0.000 0.333 0.667
0.500 0.404 0.404
0.500 0.596 0.000
0.500 0.000 0.596
0.000 0.000 0.234
0.000 0.766 0.766
0.000 0.234 0.000
```

Values from the calculation:
Electronic total energy, eV per cell: -21.77
SG: P-62m (189)
Total moment, μB/cell: 0.00
Energy of formation, eV per formula unit: -2.32
Crystal system: hexagonal



# 4
Computed, not measured: crystalline YCo2Si at its relaxed geometry at the PBE level of DFT.

```
YCo2Si
1.0
3.973 0.001 0.028
1.985 3.442 0.028
1.956 1.130 4.756
Co Y Si
2 1 1
Direct
0.444 0.444 0.668
0.056 0.056 0.832
0.250 0.250 0.250
0.750 0.750 0.750
```

Values from the calculation:
Electronic total energy, eV per cell: -28.08
SG: R-3m (166)
Total moment, μB/cell: 0.00
Crystal system: trigonal



# 5
Computed, not measured: crystalline NiMo2Os at its relaxed geometry at the PBE level of DFT.

```
NiMo2Os
1.0
-3.374 -2.740 -0.159
-3.242 0.374 2.875
-3.900 1.426 -1.294
Os Mo Ni
1 2 1
Direct
0.500 0.500 0.500
0.750 0.750 0.750
0.250 0.250 0.250
0.000 0.000 0.000
```

Values from the calculation:
Electronic total energy, eV per cell: -37.64
Excess energy over the best structure of this formula in the dataset, eV per atom: 0.270
SG: Fm-3m (225)
Total moment, μB/cell: 0.00
Energy of formation, eV per formula unit: 1.04
Crystal system: cubic



- Which value of electronic total energy does entry 5 give?
  -37.64 eV per cell



- Number 5 is which compound?
  NiMo2Os



- Among the records above, which one has the lowest electronic total energy?
  NiMo2Os



Repeat the second record exactly.
Computed, not measured: crystalline CuBi2Cl at its relaxed geometry at the PBE level of DFT.

```
CuBi2Cl
1.0
0.000 3.599 3.599
3.599 0.000 3.599
3.599 3.599 0.000
Cl Bi Cu
1 2 1
Direct
0.000 0.000 0.000
0.250 0.250 0.250
0.750 0.750 0.750
0.500 0.500 0.500
```

Values from the calculation:
Electronic total energy, eV per cell: -13.20
Excess energy over the best structure of this formula in the dataset, eV per atom: 0.000
SG: Fm-3m (225)
Total moment, μB/cell: 0.00
Crystal system: cubic